DFT (GGA-PBE) results for crystalline MnAg2Os at its relaxed geometry.

a = 2.7549 Å, b = 2.7549 Å, c = 27.9662 Å
α = 90.00°, β = 90.00°, γ = 120.00°
Space group R3m (No. 160, hexagonal axes)
Asymmetric unit:
Mn1 0.0000 0.0000 0.0000 [3 per cell]
Ag1 0.0000 0.0000 0.5076 [3 per cell]
Ag2 0.0000 0.0000 0.7501 [3 per cell]
Os1 0.0000 0.0000 0.2648 [3 per cell]

Properties
- formation energy from the elements (eV/atom) = 0.33
- total energy (eV per atom) = -6.19
- crystal system = trigonal
- M_tot (μB per cell) = 3.89